A plane-wave DFT calculation with PBE was carried out for an optimized crystal structure of MoC2.

The calculation puts the energy of formation at 158 kJ per mole of atoms. The density of states at the Fermi level is 0.485 states/eV/atom. For the energy above the lowest structure with this stoichiometry, the calculation gives 1121 meV per atom.

The structure belongs to space group P6_3/mmc (No. 194); the cell edges are 3.8938, 3.8938 and 4.2000 Å and the angles 90.00°, 90.00° and 120.00°. The distinct sites, in fractional coordinates, are Mo at (0.3333, 0.6667, 0.2500), C at (0.0000, 0.0000, 0.0000) and C at (0.3333, 0.6667, 0.7500).

A plane-wave DFT calculation with PBE was carried out for an optimized crystal structure of Ac2CdAgRh.

The calculation puts the energy of formation at -40 kJ per mole of atoms. The density of states at the Fermi level is 0.604 states/eV/atom.

The structure belongs to space group P2_1/m (No. 11); the cell edges are 8.160, 4.404 and 8.482 Å and the angles 90.00°, 109.87° and 90.00°. The distinct sites, in fractional coordinates, are Ac at (0.121, 0.250, 0.344), Ac at (0.278, 0.250, 0.971), Cd at (0.334, 0.750, 0.668), Ag at (0.445, 0.750, 0.353) and Rh at (0.110, 0.750, 0.098).

A plane-wave DFT calculation with PBE was carried out for an optimized crystal structure of RuPtSe2.

The density of states at the Fermi level is 1.000 states/eV/atom. The value obtained for the uncorrected formation energy is 0.20 eV per atom. For the energy above the lowest structure with this stoichiometry, the calculation gives 280 meV per atom.

The structure belongs to space group Immm (No. 71); the cell edges are 2.920, 4.609 and 11.449 Å and the angles 90.00°, 90.00° and 90.00°. The distinct sites, in fractional coordinates, are Ru at (0.000, 0.000, 0.000), Pt at (0.000, 0.000, 0.500) and Se at (0.000, 0.500, 0.326).